Entry from the Alexandria database: a relaxed structure of LiSmScAg (GGA-PBE).

CIF file:
```
data_LiSmScAg
_cell_length_a 7.181
_cell_length_b 7.181
_cell_length_c 7.181
_cell_angle_alpha 90.00
_cell_angle_beta 90.00
_cell_angle_gamma 90.00
_symmetry_space_group_name_H-M 'F -4 3 m'
_symmetry_Int_Tables_number 216
_symmetry_space_group_name_Hall 'F -4 2 3'
loop_
_atom_site_label
_atom_site_type_symbol
_atom_site_fract_x
_atom_site_fract_y
_atom_site_fract_z
_atom_site_occupancy
Li1 Li 0.000 0.000 0.000 1
Sm1 Sm 0.250 0.250 0.750 1
Sc1 Sc 0.250 0.250 0.250 1
Ag1 Ag 0.000 0.000 0.500 1
```

Calculated values
The final energy comes out at -4.007 eV per atom. The value obtained for the formation energy is -0.05 eV per atom.